i) InSnSe after structural relaxation, computed with PBE-GGA.

The structure in CIF format:
```
data_InSnSe
_chemical_formula_sum 'In2 Sn2 Se2'
_symmetry_space_group_name_H-M 'P 1'
_symmetry_Int_Tables_number 1
_cell_length_a 4.198
_cell_length_b 9.416
_cell_length_c 4.236
_cell_angle_alpha 90.00
_cell_angle_beta 90.00
_cell_angle_gamma 90.00
loop_
_symmetry_equiv_pos_as_xyz
'x,y,z'
loop_
_atom_site_label
_atom_site_fract_x
_atom_site_fract_y
_atom_site_fract_z
Se1 0.500 0.870 0.171
Se2 0.000 0.130 0.671
Sn1 0.500 0.460 0.138
Sn2 0.000 0.540 0.638
In1 0.500 0.155 0.226
In2 0.000 0.845 0.726
```


ii) InSnSe after structural relaxation, computed with PBE-GGA.

The structure in CIF format:
```
data_InSnSe
_chemical_formula_sum 'In4 Sn4 Se4'
_symmetry_space_group_name_H-M 'P 1'
_symmetry_Int_Tables_number 1
_cell_length_a 9.089
_cell_length_b 5.947
_cell_length_c 6.253
_cell_angle_alpha 90.00
_cell_angle_beta 106.30
_cell_angle_gamma 90.00
loop_
_symmetry_equiv_pos_as_xyz
'x,y,z'
loop_
_atom_site_label
_atom_site_fract_x
_atom_site_fract_y
_atom_site_fract_z
Se1 0.154 0.500 0.807
Se2 0.154 0.000 0.307
Se3 0.846 0.000 0.693
Se4 0.846 0.500 0.193
Sn1 0.457 0.500 0.233
Sn2 0.457 0.000 0.733
Sn3 0.543 0.000 0.267
Sn4 0.543 0.500 0.767
In1 0.835 0.500 0.637
In2 0.165 0.500 0.363
In3 0.835 0.000 0.137
In4 0.165 0.000 0.863
```


iii) InSnSe after structural relaxation, computed with PBE-GGA.

The structure in CIF format:
```
data_InSnSe
_chemical_formula_sum 'In2 Sn2 Se2'
_symmetry_space_group_name_H-M 'P 1'
_symmetry_Int_Tables_number 1
_cell_length_a 4.340
_cell_length_b 4.340
_cell_length_c 12.366
_cell_angle_alpha 90.00
_cell_angle_beta 90.00
_cell_angle_gamma 120.00
loop_
_symmetry_equiv_pos_as_xyz
'x,y,z'
loop_
_atom_site_label
_atom_site_fract_x
_atom_site_fract_y
_atom_site_fract_z
In1 0.333 0.667 0.278
In2 0.667 0.333 0.722
Sn1 0.667 0.333 0.952
Sn2 0.333 0.667 0.048
Se1 0.667 0.333 0.368
Se2 0.333 0.667 0.632
```


In terms of stability, iii) leads; the second structure lies 11 meV/atom higher.